1.
# HfZrNiAs

HfZrNiAs after structural relaxation (PBE, the Open Quantum Materials Database).

abc: 4.639 4.639 4.639
angles: 60.00 60.00 60.00
Element x y z (fractional)
As  0.000  0.000  0.000
Ni  0.750  0.750  0.750
Zr  0.500  0.500  0.500
Hf  0.250  0.250  0.250

Results
Energy relative to the lowest polymorph listed for this composition ... 1.003 eV/atom
Total magnetization ... 0.02 μB/cell
Mass density ... 9.49 g cm⁻³
Crystal system ... cubic


2.
# SmHfCd

SmHfCd after structural relaxation (PBE, the Open Quantum Materials Database).

abc: 4.971 4.971 4.971
angles: 60.00 60.00 60.00
Element x y z (fractional)
Cd  0.250  0.250  0.250
Sm  0.750  0.750  0.750
Hf  0.000  0.000  0.000

Results
DFT formation energy ... 0.75 eV/atom
Energy relative to the lowest polymorph listed for this composition ... 0.000 eV/atom
Total magnetization ... 1.26 μB/cell
Mass density ... 8.44 g cm⁻³
Crystal system ... cubic


3.
# ZrCu

ZrCu after structural relaxation (PBE, the Open Quantum Materials Database).

abc: 5.996 5.996 4.500
angles: 90.00 90.00 120.00
Element x y z (fractional)
Zr  0.993  0.496  0.000
Zr  0.504  0.496  0.000
Cu  0.000  0.000  0.000
Cu  0.857  0.714  0.500
Cu  0.857  0.143  0.500
Zr  0.504  0.007  0.000
Zr  0.333  0.667  0.500
Cu  0.286  0.143  0.500

Results
DFT formation energy ... 0.23 eV/atom
Total magnetization ... 0.02 μB/cell
Mass density ... 7.34 g cm⁻³
Crystal system ... hexagonal


4.
# LuAgHg

LuAgHg after structural relaxation (PBE, the Open Quantum Materials Database).

abc: 4.729 4.729 4.729
angles: 60.00 60.00 60.00
Element x y z (fractional)
Hg  0.250  0.250  0.250
Ag  0.000  0.000  0.000
Lu  0.750  0.750  0.750

Results
DFT formation energy ... -0.15 eV/atom
Total magnetization ... 0.00 μB/cell
Mass density ... 10.74 g cm⁻³
Crystal system ... cubic


5.
# Tm3Cd3In2Au

Tm3Cd3In2Au after structural relaxation (PBE, the Open Quantum Materials Database).

abc: 7.832 7.832 4.019
angles: 90.00 90.00 120.00
Element x y z (fractional)
In  0.667  0.333  0.500
Au  0.000  0.000  0.000
Cd  0.000  0.260  0.500
Cd  0.260  0.000  0.500
In  0.333  0.667  0.500
Tm  0.390  0.390  0.000
Tm  0.610  0.000  0.000
Cd  0.740  0.740  0.500
Tm  0.000  0.610  0.000

Results
Total magnetization ... 0.00 μB/cell
Mass density ... 9.88 g cm⁻³
Crystal system ... hexagonal
E_tot ... -3.201 eV per atom


6.
# TbTlCdTe3

TbTlCdTe3 after structural relaxation (PBE, the Open Quantum Materials Database).

abc: 11.730 4.474 15.391
angles: 90.00 90.00 90.00
Element x y z (fractional)
Tb  0.986  0.750  0.247
Te  0.037  0.250  0.384
Te  0.262  0.250  0.668
Te  0.738  0.750  0.332
Tl  0.269  0.250  0.989
Tl  0.731  0.750  0.011
Te  0.537  0.250  0.116
Te  0.064  0.750  0.890
Tb  0.014  0.250  0.753
Te  0.963  0.750  0.616
Tl  0.231  0.750  0.489
Tb  0.514  0.250  0.747
Tb  0.486  0.750  0.253
Te  0.762  0.250  0.832
Cd  0.760  0.750  0.715
Tl  0.769  0.250  0.511
Cd  0.260  0.750  0.785
Te  0.564  0.750  0.610
Te  0.463  0.750  0.884
Cd  0.240  0.250  0.285
Te  0.238  0.750  0.168
Te  0.936  0.250  0.110
Te  0.436  0.250  0.390
Cd  0.740  0.250  0.215

Results
Energy relative to the lowest polymorph listed for this composition ... 0.000 eV/atom
Total magnetization ... 0.02 μB/cell
Mass density ... 7.06 g cm⁻³
Crystal system ... orthorhombic


7.
# RbScFe

RbScFe after structural relaxation (PBE, the Open Quantum Materials Database).

abc: 5.067 5.067 5.067
angles: 60.00 60.00 60.00
Element x y z (fractional)
Rb  0.000  0.000  0.000
Sc  0.750  0.750  0.750
Fe  0.250  0.250  0.250

Results
Energy relative to the lowest polymorph listed for this composition ... 0.523 eV/atom
Total magnetization ... 3.34 μB/cell
Mass density ... 3.36 g cm⁻³
Crystal system ... cubic


8.
# NaAsIrO

NaAsIrO after structural relaxation (PBE, the Open Quantum Materials Database).

abc: 3.567 3.567 9.261
angles: 90.00 90.00 90.00
Element x y z (fractional)
As  0.000  0.500  0.256
O  0.500  0.500  0.000
Ir  0.500  0.000  0.141
Na  0.500  0.500  0.500
O  0.000  0.000  0.000
Ir  0.000  0.500  0.859
As  0.500  0.000  0.744
Na  0.000  0.000  0.500

Results
Energy relative to the lowest polymorph listed for this composition ... 0.810 eV/atom
Total magnetization ... 0.00 μB/cell
Mass density ... 8.63 g cm⁻³
Crystal system ... tetragonal


9.
# KScW

KScW after structural relaxation (PBE, the Open Quantum Materials Database).

abc: 5.077 5.077 5.077
angles: 60.00 60.00 60.00
Element x y z (fractional)
Sc  0.750  0.750  0.750
K  0.250  0.250  0.250
W  0.000  0.000  0.000

Results
Energy relative to the lowest polymorph listed for this composition ... 0.000 eV/atom
Total magnetization ... 3.19 μB/cell
Mass density ... 4.81 g cm⁻³
Crystal system ... cubic


10.
# YCu2Re

YCu2Re after structural relaxation (PBE, the Open Quantum Materials Database).

abc: 4.558 4.558 4.558
angles: 60.00 60.00 60.00
Site moments in Bohr magnetons follow the coordinates.
Element x y z (fractional)
Re  0.750  0.750  0.750  1.42
Cu  0.250  0.250  0.250  0.06
Y  0.500  0.500  0.500  0.13
Cu  0.000  0.000  0.000  0.18

Results
DFT formation energy ... 0.61 eV/atom
Total magnetization ... 1.86 μB/cell
Mass density ... 9.97 g cm⁻³
Crystal system ... cubic


11.
# SmI2

SmI2 after structural relaxation (PBE, the Open Quantum Materials Database).

abc: 6.834 6.834 6.834
angles: 60.00 60.00 60.00
Site moments in Bohr magnetons follow the coordinates.
Element x y z (fractional)
Sm  0.000  0.000  0.000  0.63
I  0.625  0.625  0.125  -0.03
I  0.625  0.625  0.625  -0.03
Sm  0.250  0.250  0.250  0.63
I  0.625  0.125  0.625  -0.05
I  0.125  0.625  0.625  -0.04

Results
Total magnetization ... 2.69 μB/cell
Mass density ... 5.95 g cm⁻³
Crystal system ... cubic
E_tot ... -2.378 eV per atom


12.
# Pu2GePd3

Pu2GePd3 after structural relaxation (PBE, the Open Quantum Materials Database).

abc: 5.548 5.548 8.516
angles: 90.00 90.00 120.00
Site moments in Bohr magnetons follow the coordinates.
Element x y z (fractional)
Pd  0.337  0.169  0.750  -0.05
Pd  0.663  0.831  0.250  -0.05
Pu  0.667  0.333  0.069  5.28
Pd  0.169  0.337  0.250  -0.04
Pu  0.667  0.333  0.431  5.26
Pd  0.831  0.663  0.750  -0.04
Pu  0.333  0.667  0.931  5.29
Pd  0.831  0.169  0.750  -0.03
Ge  0.000  0.000  0.500  -0.09
Pd  0.169  0.831  0.250  -0.03
Ge  0.000  0.000  0.000  -0.08
Pu  0.333  0.667  0.569  5.26

Results
Total magnetization ... 21.45 μB/cell
Mass density ... 12.87 g cm⁻³
Crystal system ... hexagonal
E_tot ... -8.765 eV per atom


13.
# SrMgSi2Os

SrMgSi2Os after structural relaxation (PBE, the Open Quantum Materials Database).

abc: 6.200 6.200 6.200
angles: 140.32 140.32 57.37
Element x y z (fractional)
Sr  0.750  0.250  0.500
Si  0.371  0.871  0.500
Os  0.500  0.500  0.000
Si  0.129  0.629  0.500
Mg  0.000  0.000  0.000

Results
Total magnetization ... 0.00 μB/cell
Mass density ... 6.18 g cm⁻³
Crystal system ... tetragonal
E_tot ... -5.312 eV per atom


14.
# TlAgAs

TlAgAs after structural relaxation (PBE, the Open Quantum Materials Database).

abc: 4.743 4.743 4.743
angles: 60.00 60.00 60.00
Element x y z (fractional)
As  0.750  0.750  0.750
Tl  0.000  0.000  0.000
Ag  0.250  0.250  0.250

Results
Mass density ... 8.52 g cm⁻³
Crystal system ... cubic
E_tot ... -2.889 eV per atom


15.
# Zr3Al3Co2Pd

Zr3Al3Co2Pd after structural relaxation (PBE, the Open Quantum Materials Database).

abc: 7.024 7.024 3.465
angles: 90.00 90.00 120.00
Element x y z (fractional)
Zr  0.586  0.000  0.500
Pd  0.000  0.000  0.500
Al  0.000  0.264  0.000
Al  0.264  0.000  0.000
Co  0.333  0.667  0.000
Zr  0.414  0.414  0.500
Al  0.736  0.736  0.000
Co  0.667  0.333  0.000
Zr  0.000  0.586  0.500

Results
Total magnetization ... 0.02 μB/cell
Mass density ... 6.49 g cm⁻³
Crystal system ... hexagonal
E_tot ... -6.887 eV per atom


16.
# ZnCoCuPt

ZnCoCuPt after structural relaxation (PBE, the Open Quantum Materials Database).

abc: 4.193 4.193 4.193
angles: 60.00 60.00 60.00
Site moments in Bohr magnetons follow the coordinates.
Element x y z (fractional)
Co  0.750  0.750  0.750  1.21
Pt  0.250  0.250  0.250  0.00
Cu  0.500  0.500  0.500  0.04
Zn  0.000  0.000  0.000  -0.04

Results
DFT formation energy ... -0.09 eV/atom
Energy relative to the lowest polymorph listed for this composition ... 0.000 eV/atom
Total magnetization ... 1.15 μB/cell
Mass density ... 12.20 g cm⁻³
Crystal system ... cubic


17.
# Nd2Al3Hg3

Nd2Al3Hg3 after structural relaxation (PBE, the Open Quantum Materials Database).

abc: 4.801 6.681 6.681
angles: 59.65 90.00 90.00
Element x y z (fractional)
Hg  0.000  0.821  0.316
Hg  0.500  0.157  0.157
Nd  0.500  0.674  0.674
Hg  0.000  0.316  0.821
Al  0.500  0.140  0.707
Nd  0.000  0.332  0.332
Al  0.500  0.707  0.140
Al  0.000  0.852  0.852

Results
Energy relative to the lowest polymorph listed for this composition ... 0.015 eV/atom
Total magnetization ... 0.00 μB/cell
Mass density ... 8.72 g cm⁻³
Crystal system ... orthorhombic


18.
# LuGePb

LuGePb after structural relaxation (PBE, the Open Quantum Materials Database).

abc: 5.025 5.025 5.025
angles: 60.00 60.00 60.00
Element x y z (fractional)
Ge  0.250  0.250  0.250
Pb  0.000  0.000  0.000
Lu  0.750  0.750  0.750

Results
Energy relative to the lowest polymorph listed for this composition ... 0.330 eV/atom
Total magnetization ... 0.00 μB/cell
Mass density ... 8.42 g cm⁻³
Crystal system ... cubic


19.
# Li4Zn2InSn

Li4Zn2InSn after structural relaxation (PBE, the Open Quantum Materials Database).

abc: 4.537 4.537 6.444
angles: 90.00 90.00 90.00
Element x y z (fractional)
Zn  0.000  0.500  0.255
Li  0.000  0.500  0.748
Li  0.500  0.000  0.252
Li  0.000  0.000  0.500
Sn  0.000  0.000  0.000
Li  0.500  0.500  0.000
Zn  0.500  0.000  0.745
In  0.500  0.500  0.500

Results
Mass density ... 4.91 g cm⁻³
Crystal system ... tetragonal
E_tot ... -2.421 eV per atom


20.
# AgI

AgI after structural relaxation (PBE, the Open Quantum Materials Database).

abc: 4.665 4.665 22.866
angles: 90.00 90.00 120.00
Element x y z (fractional)
I  0.000  0.000  0.375
Ag  0.667  0.333  0.667
Ag  0.333  0.667  0.167
I  0.333  0.667  0.042
I  0.667  0.333  0.542
Ag  0.000  0.000  0.000
I  0.000  0.000  0.875
Ag  0.667  0.333  0.333
Ag  0.333  0.667  0.833
I  0.333  0.667  0.708
I  0.667  0.333  0.208
Ag  0.000  0.000  0.500

Results
Mass density ... 5.43 g cm⁻³
Crystal system ... hexagonal
E_tot ... -2.458 eV per atom


21.
# Gd2Fe14C

Gd2Fe14C after structural relaxation (PBE, the Open Quantum Materials Database).

abc: 8.727 8.727 11.769
angles: 90.00 90.00 90.00
Site moments in Bohr magnetons follow the coordinates.
Element x y z (fractional)
Fe  0.097  0.903  0.295  2.21
C  0.873  0.127  0.000  -0.15
Fe  0.275  0.935  0.121  2.09
Gd  0.856  0.856  0.500  -0.42
Gd  0.760  0.760  0.000  -0.43
Fe  0.000  0.000  0.108  1.87
Fe  0.935  0.275  0.121  2.10
Fe  0.000  0.500  0.500  2.25
Fe  0.500  0.500  0.392  1.86
Fe  0.142  0.464  0.176  2.27
Fe  0.642  0.036  0.324  2.29
Fe  0.184  0.184  0.245  2.67
Fe  0.565  0.775  0.379  2.11
Fe  0.225  0.435  0.379  2.10
Fe  0.935  0.275  0.879  2.10
Fe  0.316  0.684  0.745  2.67
Fe  0.858  0.536  0.824  2.27
Fe  0.536  0.858  0.176  2.27
Fe  0.964  0.358  0.676  2.29
Fe  0.065  0.725  0.879  2.10
Fe  0.903  0.097  0.295  2.21
Fe  0.097  0.903  0.705  2.21
Fe  0.903  0.097  0.705  2.21
Fe  0.816  0.816  0.245  2.67
C  0.127  0.873  0.000  -0.15
Fe  0.358  0.964  0.324  2.29
Fe  0.775  0.565  0.379  2.10
Fe  0.184  0.184  0.755  2.67
Fe  0.065  0.725  0.121  2.10
Fe  0.597  0.597  0.205  2.20
C  0.627  0.627  0.500  -0.15
Fe  0.358  0.964  0.676  2.29
Fe  0.684  0.316  0.745  2.67
Fe  0.500  0.000  0.500  2.25
Fe  0.858  0.536  0.176  2.28
Fe  0.597  0.597  0.795  2.20
Gd  0.260  0.740  0.500  -0.43
Fe  0.725  0.065  0.121  2.09
Fe  0.316  0.684  0.255  2.67
Fe  0.536  0.858  0.824  2.27
Fe  0.000  0.000  0.892  1.87
Gd  0.356  0.644  0.000  -0.43
Fe  0.036  0.642  0.676  2.28
Fe  0.142  0.464  0.824  2.28
Fe  0.565  0.775  0.621  2.11
Fe  0.500  0.500  0.608  1.86
Gd  0.144  0.144  0.500  -0.42
Fe  0.464  0.142  0.824  2.27
Gd  0.644  0.356  0.000  -0.43
Gd  0.240  0.240  0.000  -0.43
Fe  0.500  0.000  0.000  2.25
Fe  0.000  0.500  0.000  2.25
Fe  0.403  0.403  0.795  2.20
Fe  0.684  0.316  0.255  2.67
C  0.373  0.373  0.500  -0.15
Fe  0.642  0.036  0.676  2.29
Fe  0.435  0.225  0.621  2.11
Fe  0.403  0.403  0.205  2.20
Fe  0.225  0.435  0.621  2.10
Fe  0.725  0.065  0.879  2.09
Fe  0.816  0.816  0.755  2.67
Fe  0.435  0.225  0.379  2.11
Fe  0.036  0.642  0.324  2.29
Gd  0.740  0.260  0.500  -0.43
Fe  0.464  0.142  0.176  2.27
Fe  0.964  0.358  0.324  2.28
Fe  0.775  0.565  0.621  2.10
Fe  0.275  0.935  0.879  2.09

Results
Total magnetization ... 120.55 μB/cell
Mass density ... 8.21 g cm⁻³
Crystal system ... tetragonal
E_tot ... -7.992 eV per atom


22.
# RbDyPO

RbDyPO after structural relaxation (PBE, the Open Quantum Materials Database).

abc: 3.446 7.930 7.833
angles: 90.00 90.00 90.00
Element x y z (fractional)
O  0.500  0.245  0.382
P  0.000  0.200  0.811
Dy  0.000  0.117  0.461
O  0.500  0.755  0.882
Rb  0.500  0.450  0.100
Rb  0.500  0.550  0.600
P  0.000  0.800  0.311
Dy  0.000  0.883  0.961

Results
Energy relative to the lowest polymorph listed for this composition ... 0.000 eV/atom
Total magnetization ... 0.00 μB/cell
Mass density ... 4.58 g cm⁻³
Crystal system ... orthorhombic


23.
# SmInAu

SmInAu after structural relaxation (PBE, the Open Quantum Materials Database).

abc: 7.754 7.754 4.146
angles: 90.00 90.00 120.00
Element x y z (fractional)
In  0.000  0.255  0.000
In  0.255  0.000  0.000
Sm  0.000  0.590  0.500
Au  0.333  0.667  0.000
Au  0.667  0.333  0.000
Sm  0.410  0.410  0.500
Au  0.000  0.000  0.500
In  0.745  0.745  0.000
Sm  0.590  0.000  0.500

Results
Total magnetization ... 0.00 μB/cell
Mass density ... 10.66 g cm⁻³
Crystal system ... hexagonal
E_tot ... -4.315 eV per atom